## ZnHgTeO (PBE)

Data for an optimized crystal structure of ZnHgTeO.

a = 6.003 Å, b = 4.054 Å, c = 14.048 Å
α = 90.00°, β = 90.00°, γ = 90.00°
Sites, in units of the cell vectors:
Zn (0.870, 0.750, 0.697)
Te (0.245, 0.750, 0.421)
Zn (0.370, 0.750, 0.803)
Te (0.255, 0.250, 0.921)
Hg (0.212, 0.750, 0.099)
Te (0.745, 0.750, 0.079)
O (0.196, 0.750, 0.688)
Hg (0.288, 0.250, 0.599)
O (0.696, 0.750, 0.812)
Hg (0.788, 0.250, 0.901)
Zn (0.130, 0.250, 0.303)
Te (0.755, 0.250, 0.579)
Zn (0.630, 0.250, 0.197)
O (0.304, 0.250, 0.188)
O (0.804, 0.250, 0.312)
Hg (0.712, 0.750, 0.401)

Summary:
Symmetry = Pnma, No. 62
Energy relative to the lowest polymorph listed for this composition = 114.5 meV per atom

=====

## Fe2NiGe2 (PBE)

Data for an optimized crystal structure of Fe2NiGe2.

a = 4.931 Å, b = 3.926 Å, c = 6.713 Å
α = 90.00°, β = 90.00°, γ = 90.00°
Each line ends with the local moment (μB).
Sites, in units of the cell vectors:
Ge (0.750, 0.000, 0.370)  -0.06
Ge (0.250, 0.000, 0.630)  -0.06
Fe (0.000, 0.500, 0.500)  1.56
Ni (0.000, 0.000, 0.000)  0.00
Fe (0.750, 0.500, 0.166)  1.44
Ni (0.500, 0.000, 0.000)  0.01
Ge (0.750, 0.500, 0.814)  -0.08
Ge (0.250, 0.500, 0.186)  -0.08
Fe (0.500, 0.500, 0.500)  1.57
Fe (0.250, 0.500, 0.834)  1.44

Summary:
Symmetry = Pmma, No. 51
DFT total energy = -64.4 eV/cell

=====

## Np2HSe2F (PBE)

Data for an optimized crystal structure of Np2HSe2F.

a = 4.017 Å, b = 4.017 Å, c = 7.757 Å
α = 90.00°, β = 90.00°, γ = 120.00°
Each line ends with the local moment (μB).
Sites, in units of the cell vectors:
Np (0.667, 0.333, 0.000)  3.98
H (0.667, 0.333, 0.500)  -0.02
Se (0.333, 0.667, 0.739)  -0.09
Np (0.000, 0.000, 0.500)  3.85
F (0.000, 0.000, 0.000)  -0.01
Se (0.333, 0.667, 0.261)  -0.09

Summary:
Symmetry = P-6m2, No. 187
DFT total energy = -47.1 eV/cell

=====

## Pu2ZnPt3 (PBE)

Data for an optimized crystal structure of Pu2ZnPt3.

a = 5.565 Å, b = 5.565 Å, c = 8.398 Å
α = 90.00°, β = 90.00°, γ = 120.00°
Each line ends with the local moment (μB).
Sites, in units of the cell vectors:
Pt (0.831, 0.663, 0.750)  -0.04
Pu (0.333, 0.667, 0.931)  5.30
Pt (0.831, 0.169, 0.750)  -0.03
Pt (0.663, 0.831, 0.250)  -0.06
Pt (0.169, 0.337, 0.250)  -0.04
Zn (0.000, 0.000, 0.500)  0.03
Pt (0.337, 0.169, 0.750)  -0.06
Pu (0.667, 0.333, 0.431)  5.27
Zn (0.000, 0.000, 0.000)  0.03
Pt (0.169, 0.831, 0.250)  -0.03
Pu (0.667, 0.333, 0.069)  5.30
Pu (0.333, 0.667, 0.569)  5.27

Summary:
Symmetry = P6_3/mmc, No. 194
Energy relative to the elements = -860 meV per atom

=====

## SbAu7 (PBE)

Data for an optimized crystal structure of SbAu7.

a = 2.959 Å, b = 2.959 Å, c = 44.526 Å
α = 90.00°, β = 90.00°, γ = 90.00°
Sites, in units of the cell vectors:
Au (0.000, 0.000, 0.568)
Au (0.000, 0.000, 0.659)
Au (0.500, 0.500, 0.341)
Au (0.500, 0.500, 0.432)
Au (0.000, 0.000, 0.386)
Au (0.500, 0.500, 0.798)
Au (0.500, 0.500, 0.614)
Au (0.500, 0.500, 0.523)
Au (0.000, 0.000, 0.477)
Au (0.500, 0.500, 0.249)
Sb (0.000, 0.000, 0.850)
Au (0.000, 0.000, 0.295)
Sb (0.500, 0.500, 0.150)
Au (0.000, 0.000, 0.202)
Au (0.000, 0.000, 0.751)
Au (0.500, 0.500, 0.705)

Summary:
Symmetry = P4/nmm, No. 129
DFT total energy = -53.2 eV/cell

=====

## TbTmAl3Ge2 (PBE)

Data for an optimized crystal structure of TbTmAl3Ge2.

a = 5.511 Å, b = 5.511 Å, c = 6.738 Å
α = 99.18°, β = 99.18°, γ = 43.28°
Sites, in units of the cell vectors:
Ge (0.100, 0.100, 0.139)
Al (0.302, 0.302, 0.625)
Tm (0.616, 0.616, 0.816)
Ge (0.900, 0.900, 0.857)
Al (0.001, 0.001, 0.502)
Tb (0.384, 0.384, 0.183)
Al (0.697, 0.697, 0.377)

Summary:
Symmetry = Cm, No. 8
DFT total energy = -33.3 eV/cell

=====

## SmSiNiGe2 (PBE)

Data for an optimized crystal structure of SmSiNiGe2.

a = 11.019 Å, b = 11.019 Å, c = 4.140 Å
α = 90.00°, β = 90.00°, γ = 158.89°
Sites, in units of the cell vectors:
Ge (0.215, 0.785, 0.000)
Ge (0.056, 0.944, 0.500)
Sm (0.332, 0.668, 0.500)
Ge (0.785, 0.215, 0.000)
Si (0.444, 0.556, 0.000)
Sm (0.668, 0.332, 0.500)
Ni (0.893, 0.107, 0.000)
Ni (0.107, 0.893, 0.000)
Ge (0.944, 0.056, 0.500)
Si (0.556, 0.444, 0.000)

Summary:
Symmetry = Cmmm, No. 65
DFT total energy = -56.1 eV/cell

=====

## Li8Tl2Au (PBE)

Data for an optimized crystal structure of Li8Tl2Au.

a = 4.584 Å, b = 4.584 Å, c = 10.572 Å
α = 102.43°, β = 102.43°, γ = 59.96°
Sites, in units of the cell vectors:
Li (0.730, 0.730, 0.188)
Li (0.177, 0.177, 0.531)
Tl (0.549, 0.549, 0.649)
Au (0.000, 0.000, 0.000)
Li (0.823, 0.823, 0.469)
Tl (0.451, 0.451, 0.351)
Li (0.086, 0.086, 0.256)
Li (0.270, 0.270, 0.812)
Li (0.359, 0.359, 0.078)
Li (0.914, 0.914, 0.744)
Li (0.641, 0.641, 0.922)

Summary:
Symmetry = C2/m, No. 12
DFT total energy = -26.4 eV/cell

=====

## BiAsAuO (PBE)

Data for an optimized crystal structure of BiAsAuO.

a = 3.955 Å, b = 6.287 Å, c = 7.180 Å
α = 90.00°, β = 90.00°, γ = 90.00°
Sites, in units of the cell vectors:
Bi (0.500, 0.084, 0.533)
O (0.500, 0.801, 0.327)
Bi (0.500, 0.916, 0.033)
As (0.000, 0.339, 0.366)
O (0.500, 0.199, 0.827)
Au (0.000, 0.697, 0.528)
As (0.000, 0.661, 0.866)
Au (0.000, 0.303, 0.028)

Summary:
Symmetry = Pmc2_1, No. 26
Energy relative to the lowest polymorph listed for this composition = 278.4 meV per atom

=====

## Y2BePd2 (PBE)

Data for an optimized crystal structure of Y2BePd2.

a = 7.069 Å, b = 7.069 Å, c = 4.063 Å
α = 90.00°, β = 90.00°, γ = 90.00°
Sites, in units of the cell vectors:
Y (0.173, 0.327, 0.500)
Pd (0.639, 0.861, 0.000)
Y (0.673, 0.173, 0.500)
Pd (0.861, 0.361, 0.000)
Y (0.827, 0.673, 0.500)
Be (0.000, 0.000, 0.000)
Pd (0.361, 0.139, 0.000)
Pd (0.139, 0.639, 0.000)
Be (0.500, 0.500, 0.000)
Y (0.327, 0.827, 0.500)

Summary:
Symmetry = P4/mbm, No. 127
DFT total energy = -59.2 eV/cell

=====

## Pa (PBE)

Data for an optimized crystal structure of Pa.

a = 3.135 Å, b = 3.214 Å, c = 5.631 Å
α = 90.00°, β = 90.00°, γ = 60.81°
Sites, in units of the cell vectors:
Pa (0.858, 0.284, 0.250)
Pa (0.142, 0.716, 0.750)

Summary:
Symmetry = Cmcm, No. 63
Energy relative to the elements = 7 meV per atom
Energy relative to the lowest polymorph listed for this composition = 7.5 meV per atom

=====

## HfThPb (PBE)

Data for an optimized crystal structure of HfThPb.

a = 5.096 Å, b = 5.096 Å, c = 5.096 Å
α = 60.00°, β = 60.00°, γ = 60.00°
Sites, in units of the cell vectors:
Th (0.500, 0.500, 0.500)
Pb (0.750, 0.750, 0.750)
Hf (0.000, 0.000, 0.000)

Summary:
Symmetry = F-43m, No. 216
Energy relative to the lowest polymorph listed for this composition = 0.0 meV per atom

=====

V readings, ordered: 341.9 130.0 108.4 225.2 389.7 138.2 181.1 186.3 178.5 203.1 49.5 93.6 Å³ per cell